(1)
Crystalline YCrBiB2 at its relaxed geometry. Source: the Alexandria database, functional GGA-PBE.

a = 4.2698 Å, b = 5.0803 Å, c = 4.2698 Å
α = 90.00°, β = 90.00°, γ = 90.00°
Closest atoms and distances in Å follow each position.
Fractional coordinates of all 5 atoms:
Bi 0.5000 0.5000 0.5000  4 Y 3.02, 8 B 3.32
Cr 0.0000 0.0000 0.0000  4 B 2.13
B 0.0000 0.0000 0.5000  2 Cr 2.13
Y 0.0000 0.5000 0.0000  2 Cr 2.54
B 0.5000 0.0000 0.0000  2 Cr 2.13

Calculated values
energy of formation = 0.937 eV per atom
SG = P4/mmm (123)
density = 6.660 g/cm3

***

(2)
Crystalline CsBiB2 at its relaxed geometry. Source: the Alexandria database, functional GGA-PBE.

a = 7.6014 Å, b = 7.6014 Å, c = 6.7995 Å
α = 56.02°, β = 56.02°, γ = 90.00°
Closest atoms and distances in Å follow each position.
Fractional coordinates of all 8 atoms:
B 0.7220 0.1250 0.2500  2 Bi 2.46
Bi 0.7500 0.2500 0.5000  4 B 2.46
B 0.0280 0.6250 0.2500  2 Bi 2.46
Cs 0.2500 0.7500 0.5000  4 B 3.41
Cs 0.5000 0.5000 0.0000  4 B 3.41
Bi 0.0000 0.0000 0.0000  4 B 2.46
B 0.8750 0.9720 0.7500  2 Bi 2.46
B 0.3750 0.2780 0.7500  2 Bi 2.46

Calculated values
energy of formation = 1.516 eV per atom
SG = I-42d (122)
density = 5.017 g/cm3

***

(3)
Crystalline CsBiB at its relaxed geometry. Source: the Alexandria database, functional GGA-PBE.

a = 3.9048 Å, b = 7.5304 Å, c = 8.0412 Å
α = 107.19°, β = 90.00°, γ = 105.03°
Closest atoms and distances in Å follow each position.
Fractional coordinates of all 6 atoms:
Bi 0.8174 0.6349 0.7087  3 B 2.43-2.46
Cs 0.9096 0.8192 0.2527  2 B 3.41
Bi 0.1826 0.3651 0.2913  3 B 2.43-2.46
Cs 0.0904 0.1808 0.7473  2 B 3.41
B 0.6675 0.3349 0.4680  3 Bi 2.43-2.46
B 0.3325 0.6651 0.5320  3 Bi 2.43-2.46

Calculated values
energy of formation = 0.559 eV per atom
SG = C2/m (12)
density = 5.388 g/cm3

***

(4)
Crystalline CsBi2B at its relaxed geometry. Source: the Alexandria database, functional GGA-PBE.

a = 6.7092 Å, b = 6.7092 Å, c = 8.4675 Å
α = 66.66°, β = 66.66°, γ = 90.00°
Closest atoms and distances in Å follow each position.
Fractional coordinates of all 8 atoms:
Bi 0.3124 0.6250 0.2500  2 B 2.46
Bi 0.4376 0.1250 0.2500  2 B 2.46
Cs 0.0000 0.0000 0.0000  4 Bi 3.81
B 0.2500 0.7500 0.5000  4 Bi 2.46
Bi 0.8750 0.6876 0.7500  2 B 2.46
Bi 0.3750 0.5624 0.7500  2 B 2.46
Cs 0.7500 0.2500 0.5000  4 Bi 3.81
B 0.5000 0.5000 0.0000  4 Bi 2.46

Calculated values
energy of formation = 0.513 eV per atom
SG = I-42d (122)
density = 5.909 g/cm3

***

(5)
Crystalline CsCu2BiB at its relaxed geometry. Source: the Alexandria database, functional GGA-PBE.

a = 4.5083 Å, b = 5.6117 Å, c = 4.5083 Å
α = 90.00°, β = 90.00°, γ = 90.00°
Closest atoms and distances in Å follow each position.
Fractional coordinates of all 5 atoms:
Cs 0.0000 0.5000 0.0000  2 B 2.81
B 0.0000 0.0000 0.0000  4 Cu 2.25
Cu 0.0000 0.0000 0.5000  2 B 2.25
Cu 0.5000 0.0000 0.0000  2 B 2.25
Bi 0.5000 0.5000 0.5000  4 Cs 3.19

Calculated values
energy of formation = 1.059 eV per atom
SG = P4/mmm (123)
density = 6.985 g/cm3

***

(6)
Crystalline CsBiB2H8 at its relaxed geometry. Source: the Alexandria database, functional GGA-PBE.

a = 5.8934 Å, b = 5.8934 Å, c = 6.8267 Å
α = 64.43°, β = 64.43°, γ = 60.00°
Closest atoms and distances in Å follow each position.
Fractional coordinates of all 12 atoms:
H 0.7811 0.4410 0.0119  1 B 1.24
H 0.2340 0.2189 0.9881  1 B 1.24
H 0.2403 0.2403 0.2790  1 B 1.21
H 0.4410 0.7660 0.0119  1 B 1.24
H 0.2189 0.5590 0.9881  1 B 1.24
Bi 0.0000 0.0000 0.0000  6 H 2.27
B 0.6914 0.6914 0.9259  4 H 1.21-1.24
B 0.3086 0.3086 0.0741  4 H 1.21-1.24
H 0.5590 0.2340 0.9881  1 B 1.24
Cs 0.5000 0.5000 0.5000  6 H 3.10, 2 B 3.40
H 0.7660 0.7811 0.0119  1 B 1.24
H 0.7597 0.7597 0.7210  1 B 1.21

Calculated values
SG = R-3 (148)
density = 3.466 g/cm3
energy = -3.806 eV per atom